[1]
4
Lattice="4.870 0.000 0.000 2.435 4.218 0.000 2.435 1.406 3.977" Properties=species:S:1:pos:R:3 comment="HfFePb2, optimized geometry, DFT PBEsol" magnetic_moment_mub_per_cell=1.7 spacegroup="Fm-3m (225)" density_g_cm3=13.186 n_ef_per_ev_atom=1.029 ef_ev_per_atom=0.4932 pbc="T T T"
Hf 4.870 2.812 1.988
Fe 0.000 0.000 0.000
Pb 2.435 1.406 0.994
Pb 7.306 4.218 2.983


[2]
5
Lattice="-1.623 4.593 0.136 0.015 -0.140 4.903 4.625 1.633 0.032" Properties=species:S:1:pos:R:3 comment="RbHfFe2Pd, optimized geometry, DFT PBEsol" magnetic_moment_mub_per_cell=6.0 spacegroup="P4/mmm (123)" density_g_cm3=6.828 n_ef_per_ev_atom=1.099 ef_ev_per_atom=1.1411 pbc="T T T"
Fe 2.312 0.817 0.016
Rb 1.508 3.043 2.535
Pd 0.000 0.000 0.000
Hf -0.812 2.296 0.068
Fe 0.008 -0.070 2.451


[3]
5
Lattice="-0.221 -4.517 0.900 4.401 0.059 1.375 -1.358 0.925 4.308" Properties=species:S:1:pos:R:3 comment="Hf3FePt, optimized geometry, DFT PBEsol" magnetic_moment_mub_per_cell=0.0 spacegroup="Pm-3m (221)" density_g_cm3=13.323 n_ef_per_ev_atom=1.128 e_above_lowest_polymorph_ev_per_fu=0.00 ef_ev_per_atom=0.1090 pbc="T T T"
Fe 0.000 0.000 0.000
Hf -0.110 -2.258 0.450
Pt 1.411 -1.766 3.292
Hf 2.200 0.030 0.687
Hf -0.679 0.463 2.154


[4]
5
Lattice="-2.117 1.215 -3.633 -0.257 -4.186 -1.251 -3.822 -0.392 2.096" Properties=species:S:1:pos:R:3 comment="HfFe3Rh, optimized geometry, DFT PBEsol" magnetic_moment_mub_per_cell=6.5 spacegroup="Pm-3m (221)" density_g_cm3=8.891 n_ef_per_ev_atom=1.282 ef_ev_per_atom=1.7195 pbc="T T T"
Fe -1.911 -0.196 1.048
Hf 0.000 0.000 0.000
Fe -1.058 0.608 -1.817
Rh -3.098 -1.681 -1.394
Fe -0.128 -2.093 -0.626


[5]
5
Lattice="5.379 0.000 0.000 0.000 5.379 0.000 0.000 0.000 5.379" Properties=species:S:1:pos:R:3 comment="HfFeSb3, optimized geometry, DFT PBEsol" magnetic_moment_mub_per_cell=3.5 spacegroup="Pm-3m (221)" density_g_cm3=6.397 raw_formation_energy_ev_per_atom=0.973 n_ef_per_ev_atom=1.586 pbc="T T T"
Sb 2.690 0.000 0.000
Fe 2.690 2.690 2.690
Sb 0.000 2.690 0.000
Hf 0.000 0.000 0.000
Sb 0.000 0.000 2.690


[6]
5
Lattice="4.710 0.000 0.000 0.000 4.710 0.000 0.000 0.000 5.300" Properties=species:S:1:pos:R:3 comment="HfFeSb2Te, optimized geometry, DFT PBEsol" magnetic_moment_mub_per_cell=1.3 spacegroup="P4/mmm (123)" density_g_cm3=8.552 raw_formation_energy_ev_per_atom=0.522 n_ef_per_ev_atom=1.079 pbc="T T T"
Te 0.000 0.000 2.650
Hf 2.355 2.355 2.650
Sb 2.355 0.000 0.000
Sb 0.000 2.355 0.000
Fe 0.000 0.000 0.000